Al2SiAs: optimized geometry, PBE.

Output
ΔE_f (raw) in kJ/mol of formula units: 12
Excess energy over the best structure of this formula in the dataset in eV/atom: 0.0329
Theoretical density in g cm⁻³: 3.7

Unit cell a=2.848 b=4.656 c=5.247 alpha=90.00 beta=90.00 gamma=90.00
Sites, in units of the cell vectors:
Al (0.000, 0.000, 0.875)
Al (0.500, 0.500, 0.375)
As (0.000, 0.000, 0.375)
Si (0.500, 0.500, 0.875)